Record 1
Computed, not measured: a relaxed structure of Na3IrCl6 at the PBE level of DFT.

The structure belongs to space group P2_1/c (No. 14); the cell edges are 6.710, 7.058 and 11.878 Å and the angles 90.00°, 124.39° and 90.00°. Symmetry generates all atoms from Na at (0.000, 0.000, 0.000), Na at (0.217, 0.082, 0.746), Ir at (0.500, 0.000, 0.500), Cl at (0.151, 0.175, 0.438), Cl at (0.267, 0.717, 0.429) and Cl at (0.406, 0.048, 0.277).

For the volume, the calculation gives 23.2 Å³/atom. The uncorrected formation energy comes out at -1.248 eV/atom. The magnetic moment comes out at 0.00 μB per atom.

Record 2
Computed, not measured: a relaxed structure of NaIr2Cl at the PBE level of DFT.

The structure belongs to space group Fm-3m (No. 225); the cell edges are 6.346, 6.346 and 6.346 Å and the angles 90.00°, 90.00° and 90.00°. Symmetry generates all atoms from Na at (0.000, 0.000, 0.000), Ir at (0.250, 0.250, 0.250) and Cl at (0.000, 0.000, 0.500).

For the volume, the calculation gives 16.0 Å³/atom. The uncorrected formation energy comes out at 1.344 eV/atom. The magnetic moment comes out at 0.00 μB per atom.

Record 3
Computed, not measured: a relaxed structure of Na3IrCl7 at the PBE level of DFT.

The structure belongs to space group Cm (No. 8); the cell edges are 10.748, 8.957 and 6.725 Å and the angles 90.00°, 98.92° and 90.00°. Symmetry generates all atoms from Na at (0.000, 0.000, 0.000), Na at (0.338, 0.223, 0.537), Ir at (0.343, 0.000, 0.038), Cl at (0.213, 0.000, 0.296), Cl at (0.213, 0.184, 0.872), Cl at (0.400, 0.500, 0.617), Cl at (0.469, 0.000, 0.781) and Cl at (0.471, 0.187, 0.209).

For the volume, the calculation gives 29.1 Å³/atom. The uncorrected formation energy comes out at -1.142 eV/atom. The magnetic moment comes out at 0.10 μB per atom.

Record 4
Computed, not measured: a relaxed structure of Na3IrCl at the PBE level of DFT.

The structure belongs to space group Pm-3m (No. 221); the cell edges are 5.556, 5.556 and 5.556 Å and the angles 90.00°, 90.00° and 90.00°. Symmetry generates all atoms from Na at (0.000, 0.000, 0.500), Ir at (0.000, 0.000, 0.000) and Cl at (0.500, 0.500, 0.500).

For the volume, the calculation gives 34.3 Å³/atom. The uncorrected formation energy comes out at 0.233 eV/atom. The magnetic moment comes out at 0.20 μB per atom.

Record 5
Computed, not measured: a relaxed structure of Na3IrCl at the PBE level of DFT.

The structure belongs to space group Pm-3m (No. 221); the cell edges are 5.107, 5.107 and 5.107 Å and the angles 90.00°, 90.00° and 90.00°. Symmetry generates all atoms from Na at (0.000, 0.000, 0.500), Ir at (0.500, 0.500, 0.500) and Cl at (0.000, 0.000, 0.000).

For the volume, the calculation gives 26.6 Å³/atom. The uncorrected formation energy comes out at 0.086 eV/atom. The magnetic moment comes out at 0.20 μB per atom.

Record 6
Computed, not measured: a relaxed structure of NaIrCl6 at the PBE level of DFT.

The structure belongs to space group R-3 (No. 148, hexagonal axes); the cell edges are 6.4222, 6.4222 and 17.4971 Å and the angles 90.00°, 90.00° and 120.00°. Symmetry generates all atoms from Na at (0.0000, 0.0000, 0.0000), Ir at (0.0000, 0.0000, 0.5000) and Cl at (0.0211, 0.6310, 0.0908).

For the volume, the calculation gives 26.0 Å³/atom. The uncorrected formation energy comes out at -0.674 eV/atom. The magnetic moment comes out at 0.25 μB per atom.